(1)
A geometry-optimized Cu2BiMo structure, computed with PBE.

Computed properties:
* ΔH_f (0 K): 0.697 eV per atom

Cell lengths 7.261, 7.261, 5.811 Å; angles 51.34, 51.34, 90.00 degrees
Atoms (fractional coordinates):
Cu  0.140  0.625  0.250
Bi  0.000  0.000  0.000
Mo  0.500  0.500  0.000
Cu  0.375  0.390  0.750
Cu  0.610  0.125  0.250
Cu  0.875  0.860  0.750
Mo  0.250  0.750  0.500
Bi  0.750  0.250  0.500

***

(2)
A geometry-optimized La3NdHo2Te6 structure, computed with PBE.

Computed properties:
* raw formation energy: -1.457 eV/atom

Cell lengths 7.753, 7.753, 7.812 Å; angles 99.50, 99.50, 120.22 degrees
Atoms (fractional coordinates):
Te  0.079  0.422  0.238
Te  0.921  0.578  0.762
Te  0.734  0.734  0.232
Nd  0.000  0.000  0.000
Te  0.578  0.921  0.762
La  0.500  0.500  0.500
La  0.839  0.161  0.500
Ho  0.667  0.333  0.000
Te  0.266  0.266  0.768
Ho  0.333  0.667  0.000
Te  0.422  0.079  0.238
La  0.161  0.839  0.500

***

(3)
A geometry-optimized Ce2Ga5Ni4 structure, computed with PBE.

Computed properties:
* ΔH_f (0 K): -0.517 eV per atom

Cell lengths 5.237, 5.260, 8.133 Å; angles 80.78, 71.22, 60.15 degrees
Atoms (fractional coordinates):
Ni  0.217  0.301  0.264
Ga  0.500  0.000  0.000
Ce  0.134  0.000  0.732
Ga  0.250  0.500  0.500
Ni  0.481  0.301  0.736
Ni  0.519  0.699  0.264
Ni  0.783  0.699  0.736
Ga  0.750  0.500  0.500
Ga  0.500  0.500  0.000
Ga  0.000  0.500  0.000
Ce  0.866  0.000  0.268

***

(4)
A geometry-optimized K5Na3Br8 structure, computed with PBE.

Computed properties:
* raw formation energy: -1.661 eV/atom

Cell lengths 9.103, 9.103, 9.141 Å; angles 60.14, 60.14, 60.00 degrees
Atoms (fractional coordinates):
K  0.500  0.500  0.500
Na  0.000  0.500  0.500
Na  0.000  0.000  0.500
Br  0.250  0.768  0.732
Na  0.500  0.000  0.500
Br  0.768  0.250  0.732
Br  0.750  0.232  0.268
K  0.500  0.000  0.000
K  0.000  0.000  0.000
K  0.000  0.500  0.000
K  0.500  0.500  0.000
Br  0.750  0.750  0.268
Br  0.758  0.758  0.726
Br  0.250  0.250  0.732
Br  0.242  0.242  0.274
Br  0.232  0.750  0.268

***

(5)
A geometry-optimized Ho8BTe4S3 structure, computed with PBE.

Computed properties:
* raw formation energy: -1.477 eV/atom

Cell lengths 8.049, 8.392, 8.049 Å; angles 118.66, 120.00, 90.00 degrees
Atoms (fractional coordinates):
Te  0.500  0.000  0.500
Ho  0.777  0.299  0.554
Te  0.500  0.000  0.000
Ho  0.777  0.299  0.022
S  0.500  0.500  0.000
Ho  0.755  0.701  0.978
Te  0.000  0.000  0.500
B  0.000  0.500  0.000
Ho  0.245  0.299  0.022
S  0.000  0.500  0.500
S  0.500  0.500  0.500
Ho  0.223  0.701  0.446
Ho  0.223  0.701  0.978
Ho  0.735  0.705  0.470
Ho  0.265  0.295  0.530
Te  0.000  0.000  0.000

***

(6)
A geometry-optimized Pu3NCl7 structure, computed with PBE.

Computed properties:
* raw formation energy: -1.740 eV/atom

Cell lengths 6.550, 7.869, 7.869 Å; angles 120.00, 90.00, 90.00 degrees
Atoms (fractional coordinates):
Cl  0.003  0.164  0.328
Pu  0.766  0.026  0.513
Cl  0.003  0.164  0.836
Pu  0.766  0.487  0.974
Cl  0.546  0.829  0.657
N  0.677  0.333  0.667
Pu  0.766  0.487  0.513
Cl  0.546  0.829  0.171
Cl  0.546  0.343  0.171
Cl  0.003  0.672  0.836
Cl  0.995  0.667  0.333

***

Volume: 143.51, 382.83, 183.94, 536.73, 392.09, 351.27 (Å³/cell)
N(E_F): 6.53, 7.14, 8.16, 0.00, 4.76, 28.08 (states/eV/cell)
Total magnetization: 0.000, 0.000, 0.207, 0.000, 0.000, 14.000 (μB per formula unit)